# 1
Below is a crystal of SrCd4W relaxed with PBEsol, with properties calculated at the meta-GGA SCAN level.

CIF file:
```
data_SrCd4W
_chemical_formula_sum 'Sr4 Cd16 W4'
_cell_length_a 8.0470
_cell_length_b 8.0470
_cell_length_c 8.0470
_cell_angle_alpha 90.00
_cell_angle_beta 90.00
_cell_angle_gamma 90.00
_symmetry_space_group_name_H-M 'F -4 3 m'
_symmetry_Int_Tables_number 216
_symmetry_space_group_name_Hall 'F -4 2 3'
loop_
_atom_site_label
_atom_site_type_symbol
_atom_site_fract_x
_atom_site_fract_y
_atom_site_fract_z
Sr1 Sr 0.0000 0.0000 0.0000
Cd1 Cd 0.1239 0.1239 0.3761
W1 W 0.2500 0.2500 0.7500
```

Output
V in A^3/atom: 21.7
Total energy in eV per atom: -35.1671
Formation energy in eV/atom: 0.44


# 2
Below is a crystal of SrYCd4 relaxed with PBEsol, with properties calculated at the meta-GGA SCAN level.

CIF file:
```
data_SrYCd4
_chemical_formula_sum 'Sr4 Y4 Cd16'
_cell_length_a 8.3716
_cell_length_b 8.3716
_cell_length_c 8.3716
_cell_angle_alpha 90.00
_cell_angle_beta 90.00
_cell_angle_gamma 90.00
_symmetry_space_group_name_H-M 'F -4 3 m'
_symmetry_Int_Tables_number 216
_symmetry_space_group_name_Hall 'F -4 2 3'
loop_
_atom_site_label
_atom_site_type_symbol
_atom_site_fract_x
_atom_site_fract_y
_atom_site_fract_z
Sr1 Sr 0.0000 0.0000 0.0000
Y1 Y 0.2500 0.2500 0.7500
Cd1 Cd 0.1244 0.1244 0.3756
```

Output
V in A^3/atom: 24.4
Total energy in eV per atom: -28.9917
Formation energy in eV/atom: -0.36


# 3
Below is a crystal of SrYCd relaxed with PBEsol, with properties calculated at the meta-GGA SCAN level.

CIF file:
```
data_SrYCd
_chemical_formula_sum 'Sr2 Y2 Cd2'
_cell_length_a 3.7880
_cell_length_b 3.7880
_cell_length_c 13.4481
_cell_angle_alpha 90.00
_cell_angle_beta 90.00
_cell_angle_gamma 90.00
_symmetry_space_group_name_H-M 'I 4 m m'
_symmetry_Int_Tables_number 107
_symmetry_space_group_name_Hall 'I 4 -2'
loop_
_atom_site_label
_atom_site_type_symbol
_atom_site_fract_x
_atom_site_fract_y
_atom_site_fract_z
Sr1 Sr 0.0000 0.0000 0.0000
Y1 Y 0.0000 0.0000 0.2817
Cd1 Cd 0.0000 0.0000 0.6633
```

Output
V in A^3/atom: 32.2
Total energy in eV per atom: -27.0630
Formation energy in eV/atom: -0.22


# 4
Below is a crystal of Sr2ZnCd relaxed with PBEsol, with properties calculated at the meta-GGA SCAN level.

CIF file:
```
data_Sr2ZnCd
_chemical_formula_sum 'Sr4 Zn2 Cd2'
_cell_length_a 3.7975
_cell_length_b 5.5235
_cell_length_c 11.2293
_cell_angle_alpha 90.00
_cell_angle_beta 90.00
_cell_angle_gamma 90.00
_symmetry_space_group_name_H-M 'I m m 2'
_symmetry_Int_Tables_number 44
loop_
_symmetry_equiv_pos_as_xyz
'x,y,z'
'-x,-y,z'
'-x,y,z'
'x,-y,z'
'x+1/2,y+1/2,z+1/2'
'-x+1/2,-y+1/2,z+1/2'
'-x+1/2,y+1/2,z+1/2'
'x+1/2,-y+1/2,z+1/2'
loop_
_atom_site_label
_atom_site_type_symbol
_atom_site_fract_x
_atom_site_fract_y
_atom_site_fract_z
Sr1 Sr 0.0000 0.0000 0.0000
Sr2 Sr 0.0000 0.5000 0.1974
Zn1 Zn 0.0000 0.5000 0.7468
Cd1 Cd 0.0000 0.0000 0.4242
```

Output
V in A^3/atom: 29.4
Total energy in eV per atom: -22.3393
Formation energy in eV/atom: -0.22


# 5
Below is a crystal of Sr2Zn2Cd relaxed with PBEsol, with properties calculated at the meta-GGA SCAN level.

CIF file:
```
data_Sr2Zn2Cd
_chemical_formula_sum 'Sr4 Zn4 Cd2'
_cell_length_a 3.8080
_cell_length_b 3.8080
_cell_length_c 19.2786
_cell_angle_alpha 90.00
_cell_angle_beta 90.00
_cell_angle_gamma 90.00
_symmetry_space_group_name_H-M 'I 4/m m m'
_symmetry_Int_Tables_number 139
_symmetry_space_group_name_Hall '-I 4 2'
loop_
_atom_site_label
_atom_site_type_symbol
_atom_site_fract_x
_atom_site_fract_y
_atom_site_fract_z
Sr1 Sr 0.0000 0.0000 0.1078
Zn1 Zn 0.0000 0.5000 0.2500
Cd1 Cd 0.0000 0.0000 0.5000
```

Output
V in A^3/atom: 28.0
Energy above the most stable polymorph in this dataset in meV per atom: 127
Total energy in eV per atom: -20.5124
Formation energy in eV/atom: -0.11


# 6
Below is a crystal of Sr2ZnCd relaxed with PBEsol, with properties calculated at the meta-GGA SCAN level.

CIF file:
```
data_Sr2ZnCd
_chemical_formula_sum 'Sr2 Zn1 Cd1'
_cell_length_a 5.5193
_cell_length_b 5.5193
_cell_length_c 3.9039
_cell_angle_alpha 90.00
_cell_angle_beta 90.00
_cell_angle_gamma 90.00
_symmetry_space_group_name_H-M 'P 4/m m m'
_symmetry_Int_Tables_number 123
_symmetry_space_group_name_Hall '-P 4 2'
loop_
_atom_site_label
_atom_site_type_symbol
_atom_site_fract_x
_atom_site_fract_y
_atom_site_fract_z
Sr1 Sr 0.0000 0.5000 0.0000
Zn1 Zn 0.0000 0.0000 0.5000
Cd1 Cd 0.5000 0.5000 0.5000
```

Output
V in A^3/atom: 29.7
Total energy in eV per atom: -22.4141
Formation energy in eV/atom: -0.29